# Ac4Nd8Sm | Alexandria | PBE-GGA | optimized geometry
data_Ac4Nd8Sm
_chemical_formula_sum 'Ac4 Nd8 Sm1'
_symmetry_space_group_name_H-M 'P 1'
_symmetry_Int_Tables_number 1
_cell_length_a 8.214
_cell_length_b 8.214
_cell_length_c 8.214
_cell_angle_alpha 90.25
_cell_angle_beta 90.25
_cell_angle_gamma 90.25
loop_
_symmetry_equiv_pos_as_xyz
'x,y,z'
loop_
_atom_site_label
_atom_site_fract_x
_atom_site_fract_y
_atom_site_fract_z
Ac1 0.000 0.000 0.000
Ac2 0.000 0.500 0.500
Ac3 0.500 0.000 0.500
Ac4 0.500 0.500 0.000
Nd1 0.241 0.241 0.241
Nd2 0.241 0.241 0.756
Nd3 0.241 0.756 0.241
Nd4 0.244 0.759 0.759
Nd5 0.756 0.241 0.241
Nd6 0.759 0.244 0.759
Nd7 0.759 0.759 0.244
Nd8 0.759 0.759 0.759
Sm1 0.500 0.500 0.500
# magnetic moment = 0.00 μB per formula unit
# electronic total energy = -4.05 eV per atom
# Fermi-level density of states = 1.59 states/eV per atom
# ΔE_f = 0.51 eV per atom
# theoretical density = 6.628 Mg/m³